Entry 1:
# LaAlTe2Pt

An optimized crystal structure of LaAlTe2Pt (PBE, the Alexandria database).

formation energy from raw total energies	-0.579	eV per atom
energy above the most stable polymorph in this dataset	15.0	meV/atom
volume	136.0	Å³/f.u.

POSCAR file:
```
LaAlTe2Pt
1.0
-4.427 -0.948 -2.883
0.100 -4.526 1.334
-3.033 1.190 4.265
Te Al Pt La
2 1 1 1
Direct
0.000 0.000 0.500
0.500 0.000 0.000
0.000 0.000 0.000
0.000 0.500 0.000
0.500 0.500 0.500
```



Entry 2:
# LaAlTe2Pt

An optimized crystal structure of LaAlTe2Pt (PBE, the Alexandria database).

formation energy from raw total energies	-0.594	eV per atom
energy above the most stable polymorph in this dataset	0.0	meV/atom
volume	142.3	Å³/f.u.

POSCAR file:
```
LaAlTe2Pt
1.0
-5.211 1.246 -1.481
-0.026 -3.568 -2.913
-1.935 -3.287 4.044
Te Al Pt La
2 1 1 1
Direct
0.000 0.000 0.500
0.500 0.000 0.000
0.000 0.500 0.000
0.000 0.000 0.000
0.500 0.500 0.500
```



Entry 3:
# LaTiAlPt3

An optimized crystal structure of LaTiAlPt3 (PBE, the Alexandria database).

volume	125.1	Å³/f.u.
energy of formation from the pure elements	-0.74	eV/atom

POSCAR file:
```
LaTiAlPt3
1.0
-4.503 2.734 -2.381
-3.240 -5.997 -0.759
-0.983 3.682 6.087
La Ti Al Pt
2 2 2 6
Direct
0.750 0.284 0.568
0.250 0.716 0.432
0.250 0.379 0.757
0.750 0.621 0.243
0.250 0.979 0.957
0.750 0.021 0.043
0.250 0.186 0.372
0.000 0.290 0.000
0.500 0.710 0.000
0.500 0.290 0.000
0.000 0.710 0.000
0.750 0.814 0.628
```



Entry 4:
# LaAl2TlPt

An optimized crystal structure of LaAl2TlPt (PBE, the Alexandria database).

volume	150.1	Å³/f.u.
energy of formation from the pure elements	0.68	eV/atom

POSCAR file:
```
LaAl2TlPt
1.0
4.927 0.000 0.000
0.000 6.184 0.000
0.000 0.000 4.927
Tl Al Pt La
1 2 1 1
Direct
0.000 0.000 0.000
0.000 0.000 0.500
0.500 0.000 0.000
0.500 0.500 0.500
0.000 0.500 0.000
```



Entry 5:
# La2TmAl12Pt3

An optimized crystal structure of La2TmAl12Pt3 (PBE, the Alexandria database).

volume	415.4	Å³/f.u.
energy of formation from the pure elements	-0.18	eV/atom

POSCAR file:
```
La2TmAl12Pt3
1.0
8.005 -0.424 -0.300
3.585 7.170 -0.300
3.585 2.087 6.866
La Tm Al Pt
2 1 12 3
Direct
0.579 0.579 0.579
0.421 0.421 0.421
0.000 0.000 0.000
0.269 0.269 0.858
0.827 0.827 0.465
0.465 0.827 0.827
0.858 0.269 0.269
0.827 0.465 0.827
0.269 0.858 0.269
0.731 0.731 0.142
0.173 0.173 0.535
0.535 0.173 0.173
0.142 0.731 0.731
0.173 0.535 0.173
0.731 0.142 0.731
0.500 0.000 0.000
0.000 0.500 0.000
0.000 0.000 0.500
```



Entry 6:
# LaAlPtW2

An optimized crystal structure of LaAlPtW2 (PBE, the Alexandria database).

volume	104.8	Å³/f.u.
energy of formation from the pure elements	0.86	eV/atom

POSCAR file:
```
LaAlPtW2
1.0
-4.029 -2.335 0.879
2.226 -2.670 3.111
-1.054 3.106 3.421
Al W Pt La
1 2 1 1
Direct
0.000 0.000 0.000
0.000 0.000 0.500
0.500 0.000 0.000
0.000 0.500 0.000
0.500 0.500 0.500
```



Entry 7:
# La2AlZn2Pt5

An optimized crystal structure of La2AlZn2Pt5 (PBE, the Alexandria database).

volume	185.8	Å³/f.u.
energy of formation from the pure elements	-0.83	eV/atom

POSCAR file:
```
La2AlZn2Pt5
1.0
3.710 0.000 0.000
0.000 10.009 0.000
0.000 0.000 10.009
La Al Zn Pt
4 2 4 10
Direct
0.000 0.677 0.177
0.000 0.323 0.823
0.000 0.177 0.323
0.000 0.823 0.677
0.000 0.000 0.000
0.000 0.500 0.500
0.000 0.122 0.622
0.000 0.878 0.378
0.000 0.622 0.878
0.000 0.378 0.122
0.500 0.200 0.057
0.500 0.800 0.943
0.500 0.057 0.800
0.500 0.700 0.443
0.500 0.943 0.200
0.500 0.300 0.557
0.500 0.557 0.700
0.500 0.443 0.300
0.500 0.500 0.000
0.500 0.000 0.500
```



Entry 8:
# LaAlZn2Pt4

An optimized crystal structure of LaAlZn2Pt4 (PBE, the Alexandria database).

volume	142.6	Å³/f.u.
energy of formation from the pure elements	-0.84	eV/atom

POSCAR file:
```
LaAlZn2Pt4
1.0
-0.034 -3.968 -1.771
3.746 -2.038 -0.838
1.086 -5.555 7.092
La Al Zn Pt
1 1 2 4
Direct
0.000 0.000 0.000
0.500 0.500 0.500
0.759 0.759 0.724
0.241 0.241 0.276
0.404 0.404 0.787
0.865 0.865 0.405
0.135 0.135 0.595
0.596 0.596 0.213
```